# 1
## Pr3Sm7Ho2 (GGA-PBE)

Data for Pr3Sm7Ho2 after structural relaxation.

Lattice parameters (Å, degrees): 5.940 3.622 19.141 90.00 93.05 90.00
Space group P2/m (No. 10)
Asymmetric unit:
Pr  0.000  0.000  0.000
Pr  0.279  0.500  0.634
Sm  0.189  0.500  0.145
Sm  0.243  0.000  0.464
Sm  0.309  0.000  0.821
Sm  0.500  0.500  0.000
Ho  0.212  0.000  0.294

Results
Offset from the most stable computed form: 0 meV per atom
Formation energy: 1.03 eV per formula unit
Volume: 34.27 Å³ per atom



# 2
## PrSm4Ho3 (GGA-PBE)

Data for PrSm4Ho3 after structural relaxation.

Lattice parameters (Å, degrees): 26.137 5.739 3.601 90.00 90.13 90.00
Space group C2/m (No. 12)
Asymmetric unit:
Pr  0.000  0.000  0.000
Sm  0.106  0.000  0.501
Sm  0.225  0.000  0.499
Ho  0.000  0.500  0.500
Ho  0.153  0.500  0.000

Results
Offset from the most stable computed form: 192 meV per atom
Formation energy: 1.74 eV per formula unit
Volume: 33.76 Å³ per atom



# 3
## Pr2SmHo (GGA-PBE)

Data for Pr2SmHo after structural relaxation.

Lattice parameters (Å, degrees): 3.6580 3.6580 35.5216 90.00 90.00 120.00
Space group R3m (No. 160, hexagonal axes)
Asymmetric unit:
Pr  0.0000  0.0000  0.0000
Pr  0.0000  0.0000  0.1685
Sm  0.0000  0.0000  0.7513
Ho  0.0000  0.0000  0.5838

Results
Offset from the most stable computed form: 7 meV per atom
Formation energy: 0.08 eV per formula unit
Volume: 34.30 Å³ per atom



# 4
## Pr2SmHo (GGA-PBE)

Data for Pr2SmHo after structural relaxation.

Lattice parameters (Å, degrees): 4.254 4.254 7.591 90.00 90.00 90.00
Space group P4/mmm (No. 123)
Asymmetric unit:
Pr  0.000  0.000  0.242
Sm  0.500  0.500  0.500
Ho  0.500  0.500  0.000

Results
Offset from the most stable computed form: 88 meV per atom
Formation energy: 0.41 eV per formula unit
Volume: 34.34 Å³ per atom



# 5
## Pr2Sm4Ho5 (GGA-PBE)

Data for Pr2Sm4Ho5 after structural relaxation.

Lattice parameters (Å, degrees): 3.522 9.180 23.232 90.00 90.00 90.00
Space group Immm (No. 71)
Asymmetric unit:
Pr  0.000  0.000  0.232
Sm  0.000  0.000  0.096
Sm  0.000  0.301  0.500
Ho  0.000  0.193  0.358
Ho  0.000  0.500  0.000

Results
Offset from the most stable computed form: 86 meV per atom
Formation energy: 2.56 eV per formula unit
Volume: 34.14 Å³ per atom



# 6
## PrSm6Ho (GGA-PBE)

Data for PrSm6Ho after structural relaxation.

Lattice parameters (Å, degrees): 5.125 5.125 10.249 90.00 90.00 90.00
Space group P4/mmm (No. 123)
Asymmetric unit:
Pr  0.000  0.000  0.000
Sm  0.000  0.500  0.253
Sm  0.500  0.500  0.000
Sm  0.500  0.500  0.500
Ho  0.000  0.000  0.500

Results
Formation energy: 0.16 eV per formula unit
Volume: 33.65 Å³ per atom



# 7
## Pr5Sm2Ho (GGA-PBE)

Data for Pr5Sm2Ho after structural relaxation.

Lattice parameters (Å, degrees): 7.325 14.687 5.192 90.00 90.00 90.00
Space group Pbam (No. 55)
Asymmetric unit:
Pr  0.000  0.000  0.000
Pr  0.001  0.252  0.000
Pr  0.248  0.623  0.500
Sm  0.250  0.376  0.500
Ho  0.000  0.500  0.000

Results
Formation energy: 0.12 eV per formula unit
Volume: 34.91 Å³ per atom



# 8
## Pr2Sm8Ho (GGA-PBE)

Data for Pr2Sm8Ho after structural relaxation.

Lattice parameters (Å, degrees): 16.745 6.805 6.797 90.00 100.67 90.00
Space group C2/m (No. 12)
Asymmetric unit:
Pr  0.197  0.000  0.302
Sm  0.087  0.263  0.903
Sm  0.089  0.500  0.411
Sm  0.244  0.000  0.811
Ho  0.000  0.000  0.500

Results
Offset from the most stable computed form: 136 meV per atom
Formation energy: 1.68 eV per formula unit
Volume: 34.60 Å³ per atom



# 9
## Pr3Sm2Ho7 (GGA-PBE)

Data for Pr3Sm2Ho7 after structural relaxation.

Lattice parameters (Å, degrees): 6.375 3.547 17.624 90.00 96.28 90.00
Space group P2/m (No. 10)
Asymmetric unit:
Pr  0.000  0.000  0.000
Pr  0.046  0.500  0.660
Sm  0.445  0.000  0.326
Ho  0.229  0.500  0.164
Ho  0.246  0.000  0.500
Ho  0.276  0.000  0.835
Ho  0.500  0.500  0.000

Results
Offset from the most stable computed form: 2 meV per atom
Formation energy: 1.05 eV per formula unit
Volume: 33.01 Å³ per atom



# 10
## PrSm7Ho12 (GGA-PBE)

Data for PrSm7Ho12 after structural relaxation.

Lattice parameters (Å, degrees): 12.8732 12.8732 13.6874 90.00 90.00 120.00
Space group R-3 (No. 148, hexagonal axes)
Asymmetric unit:
Pr  0.0000  0.0000  0.0000
Sm  0.0000  0.0000  0.5000
Sm  0.0680  0.8655  0.8475
Ho  0.0035  0.4361  0.2481
Ho  0.0680  0.2007  0.3474

Results
Offset from the most stable computed form: 0 meV per atom
Formation energy: 5.82 eV per formula unit
Volume: 32.74 Å³ per atom



# 11
## Pr2Sm5Ho6 (GGA-PBE)

Data for Pr2Sm5Ho6 after structural relaxation.

Lattice parameters (Å, degrees): 11.754 20.491 3.599 90.00 90.00 90.00
Space group Pbam (No. 55)
Asymmetric unit:
Pr  0.172  0.218  0.000
Sm  0.000  0.500  0.500
Sm  0.088  0.779  0.500
Sm  0.201  0.052  0.500
Ho  0.060  0.923  0.000
Ho  0.076  0.635  0.000
Ho  0.181  0.373  0.500

Results
Formation energy: 1.26 eV per formula unit
Volume: 33.34 Å³ per atom



# 12
## PrSm3Ho6 (GGA-PBE)

Data for PrSm3Ho6 after structural relaxation.

Lattice parameters (Å, degrees): 11.088 19.002 6.238 90.00 90.00 90.00
Space group Cmc2_1 (No. 36)
Asymmetric unit:
Pr  0.000  0.204  0.000
Sm  0.000  0.391  0.925
Sm  0.174  0.110  0.319
Ho  0.000  0.045  0.763
Ho  0.000  0.282  0.497
Ho  0.165  0.453  0.391
Ho  0.249  0.289  0.226

Results
Offset from the most stable computed form: 0 meV per atom
Formation energy: 1.50 eV per formula unit
Volume: 32.86 Å³ per atom



Question: Which formula does entry 3 have?
Answer: Pr2SmHo